DFT (PBE) results for a relaxed structure of ZrGeW2Cl.

Computed properties:
Symmetry   P4/mmm (123)
Total DFT energy (no corrections)   -31.20 eV per formula unit

Lattice parameters (Å, degrees): 5.0643 4.7840 5.0643 90.00 90.00 90.00
With the nearest neighbours (Å) after each atom.
Element x y z (fractional)
Ge1 0.5000 0.5000 0.5000  8 W 3.48, 4 Cl 3.58
Zr1 0.0000 0.0000 0.0000  2 Cl 2.39, 4 W 2.53
W1 0.5000 0.0000 0.0000  2 Zr 2.53
W2 0.0000 0.0000 0.5000  2 Zr 2.53
Cl1 0.0000 0.5000 0.0000  2 Zr 2.39


DFT (PBE) results for a relaxed structure of DyCd6.

Computed properties:
Symmetry   Pnma (62)
ΔE_f   -10 kJ/mol of atoms

Lattice parameters (Å, degrees): 6.0542 9.2173 11.6988 90.00 90.00 90.00
With the nearest neighbours (Å) after each atom.
Element x y z (fractional)
Cd1 0.4849 0.9356 0.3100  8 Cd 2.82-3.14
Cd2 0.2500 0.3922 0.9754  7 Cd 2.91-3.15
Cd3 0.2500 0.0626 0.9177  6 Cd 2.83-3.14
Cd4 0.9849 0.5644 0.8100  8 Cd 2.82-3.14
Cd5 0.7500 0.8645 0.8471  6 Cd 2.83-3.15
Cd6 0.2500 0.5626 0.5823  6 Cd 2.83-3.14
Cd7 0.7500 0.6897 0.2667  7 Cd 2.82-3.14
Cd8 0.2500 0.8103 0.7667  7 Cd 2.82-3.14
Cd9 0.0151 0.4356 0.1900  8 Cd 2.82-3.14
Cd10 0.7500 0.4374 0.4177  6 Cd 2.83-3.14
Cd11 0.7500 0.1897 0.2333  7 Cd 2.82-3.14
Cd12 0.7500 0.6078 0.0246  7 Cd 2.91-3.15
Cd13 0.2500 0.6355 0.3471  6 Cd 2.83-3.15
Cd14 0.2500 0.1355 0.1529  6 Cd 2.83-3.15
Cd15 0.2500 0.3103 0.7333  7 Cd 2.82-3.14
Cd16 0.5151 0.0644 0.6900  8 Cd 2.82-3.14
Cd17 0.4849 0.4356 0.1900  8 Cd 2.82-3.14
Cd18 0.7500 0.3645 0.6529  6 Cd 2.83-3.15
Cd19 0.7500 0.9374 0.0823  6 Cd 2.83-3.14
Cd20 0.5151 0.5644 0.8100  8 Cd 2.82-3.14
Cd21 0.2500 0.8922 0.5246  7 Cd 2.91-3.15
Cd22 0.0151 0.9356 0.3100  8 Cd 2.82-3.14
Cd23 0.9849 0.0644 0.6900  8 Cd 2.82-3.14
Cd24 0.7500 0.1078 0.4754  7 Cd 2.91-3.15
Dy1 0.7500 0.2422 0.9396  13 Cd 3.27-3.65
Dy2 0.2500 0.7578 0.0604  13 Cd 3.27-3.65
Dy3 0.7500 0.7422 0.5604  13 Cd 3.27-3.65
Dy4 0.2500 0.2578 0.4396  13 Cd 3.27-3.65


DFT (PBE) results for a relaxed structure of Cr2CuWSe.

Computed properties:
Symmetry   P4/mmm (123)
Total DFT energy (no corrections)   -33.54 eV per formula unit

Lattice parameters (Å, degrees): 4.4560 4.3444 4.4560 90.00 90.00 90.00
With the nearest neighbours (Å) after each atom.
Element x y z (fractional)
Cr1 0.5000 0.0000 0.0000  2 Se 2.23
Cr2 0.0000 0.0000 0.5000  2 Se 2.23
Se1 0.0000 0.0000 0.0000  2 Cu 2.17, 4 Cr 2.23
W1 0.5000 0.5000 0.5000  8 Cr 3.11, 4 Cu 3.15
Cu1 0.0000 0.5000 0.0000  2 Se 2.17


DFT (PBE) results for a relaxed structure of YErGeIr.

Computed properties:
Symmetry   F-43m (216)
ΔE_f   -68 kJ/mol of atoms

Lattice parameters (Å, degrees): 4.9422 4.9422 4.9422 60.00 60.00 60.00
With the nearest neighbours (Å) after each atom.
Element x y z (fractional)
Ge1 0.5000 0.5000 0.5000  4 Er 3.03, 4 Y 3.03
Y1 0.2500 0.2500 0.2500  4 Ge 3.03, 4 Ir 3.03
Ir1 0.0000 0.0000 0.0000  4 Y 3.03, 4 Er 3.03
Er1 0.7500 0.7500 0.7500  4 Ge 3.03, 4 Ir 3.03


DFT (PBE) results for a relaxed structure of Tl2FeSe.

Computed properties:
Symmetry   F-43m (216)
Total DFT energy (no corrections)   -14.62 eV per formula unit

Lattice parameters (Å, degrees): 5.1488 5.1488 5.1488 60.00 60.00 60.00
With the nearest neighbours (Å) after each atom.
Element x y z (fractional)
Tl1 0.0000 0.0000 0.0000  4 Tl 3.15, 4 Se 3.15
Tl2 0.2500 0.2500 0.2500  4 Tl 3.15, 4 Fe 3.15
Fe1 0.5000 0.5000 0.5000  4 Tl 3.15, 4 Se 3.15
Se1 0.7500 0.7500 0.7500  4 Tl 3.15, 4 Fe 3.15


DFT (PBE) results for a relaxed structure of DyNiGeIr.

Computed properties:
Symmetry   Amm2 (38)
ΔE_f   -29 kJ/mol of atoms

Lattice parameters (Å, degrees): 4.3141 3.0998 5.5065 106.35 90.00 90.00
With the nearest neighbours (Å) after each atom.
Element x y z (fractional)
Dy1 0.5000 0.2346 0.4692  1 Ir 2.67
Ge1 0.0000 0.5953 0.1905  2 Ir 2.44, 2 Ni 2.49
Ni1 0.0000 0.9105 0.8211  2 Ge 2.49, 4 Ir 2.78
Ir1 0.5000 0.4874 0.9748  2 Ge 2.44, 1 Dy 2.67


Number 1: V 24.539 Å³/atom, density 7.67 g cm⁻³. Number 2: V 23.315 Å³/atom, density 8.52 g cm⁻³. Number 3: V 17.252 Å³/atom, density 8.28 g cm⁻³. Number 4: V 21.339 Å³/atom, density 10.14 g cm⁻³. Number 5: V 24.130 Å³/atom, density 9.35 g cm⁻³. Number 6: V 17.665 Å³/atom, density 11.42 g cm⁻³.